## Ac4RuRhI2 (GGA-PBE)

Data for crystalline Ac4RuRhI2 at its relaxed geometry.

```
8
Lattice="-3.9750 -1.7542 0.3787 0.4226 -2.4901 -7.0990 3.3948 -6.5727 5.1883" Properties=species:S:1:pos:R:3 pbc="T T T"
Ac 2.8840 -6.0448 2.2716
Ac -1.2654 -2.6641 -0.5086
Ac 1.1078 -8.1529 -1.0234
Ac 0.9334 -3.0180 -4.1823
Rh 0.0000 0.0000 0.0000
I -0.2901 -4.1634 2.7835
I 1.9087 -4.5314 -0.9553
Ru -1.7762 -2.1221 -3.3602
```

ΔE_f (raw)   -0.876 eV per atom
D(E_F)   3.7 states/eV per cell